a:
# TaTeSN2 | the Alexandria database | PBEsol | relaxed
# D(E_F) in states/eV per cell: 3.80
# Total magnetic moment in μB per cell: 1.5
data_TaTeSN2
_chemical_formula_sum 'Ta1 Te1 S1 N2'
_cell_length_a 3.9373
_cell_length_b 3.9373
_cell_length_c 4.8819
_cell_angle_alpha 90.00
_cell_angle_beta 90.00
_cell_angle_gamma 90.00
_space_group_name_H-M_alt 'P 1'
_space_group_IT_number 1
_space_group_name_Hall 'P 1'
loop_
_atom_site_label
_atom_site_type_symbol
_atom_site_fract_x
_atom_site_fract_y
_atom_site_fract_z
N1 N 0.0000 0.5000 0.0000
N2 N 0.5000 0.0000 0.0000
Ta1 Ta 0.5000 0.5000 0.5000
Te1 Te 0.0000 0.0000 0.0000
S1 S 0.0000 0.0000 0.5000



b:
# TaTeSN2 | the Alexandria database | PBEsol | relaxed
# D(E_F) in states/eV per cell: 2.99
# Total magnetic moment in μB per cell: 0.0
data_TaTeSN2
_chemical_formula_sum 'Ta1 Te1 S1 N2'
_cell_length_a 4.0111
_cell_length_b 4.0111
_cell_length_c 5.0624
_cell_angle_alpha 90.00
_cell_angle_beta 90.00
_cell_angle_gamma 90.00
_space_group_name_H-M_alt 'P 1'
_space_group_IT_number 1
_space_group_name_Hall 'P 1'
loop_
_atom_site_label
_atom_site_type_symbol
_atom_site_fract_x
_atom_site_fract_y
_atom_site_fract_z
N1 N 0.0000 0.5000 0.0000
N2 N 0.5000 0.0000 0.0000
Ta1 Ta 0.0000 0.0000 0.0000
Te1 Te 0.5000 0.5000 0.5000
S1 S 0.0000 0.0000 0.5000



Quick one: most stable of them? b



a:
# Te2SN | the Alexandria database | PBEsol | relaxed
# D(E_F) in states/eV per cell: 2.63
# Total magnetic moment in μB per cell: 0.0
data_Te2SN
_chemical_formula_sum 'Te2 S1 N1'
_cell_length_a 4.6170
_cell_length_b 4.6170
_cell_length_c 4.6170
_cell_angle_alpha 60.00
_cell_angle_beta 60.00
_cell_angle_gamma 60.00
_space_group_name_H-M_alt 'P 1'
_space_group_IT_number 1
_space_group_name_Hall 'P 1'
loop_
_atom_site_label
_atom_site_type_symbol
_atom_site_fract_x
_atom_site_fract_y
_atom_site_fract_z
S1 S 0.5000 0.5000 0.5000
Te1 Te 0.7500 0.7500 0.7500
Te2 Te 0.2500 0.2500 0.2500
N1 N 0.0000 0.0000 0.0000



b:
# Te2SN | the Alexandria database | PBEsol | relaxed
# D(E_F) in states/eV per cell: 1.93
# Total magnetic moment in μB per cell: 0.0
data_Te2SN
_chemical_formula_sum 'Te2 S1 N1'
_cell_length_a 3.5444
_cell_length_b 3.5444
_cell_length_c 8.2849
_cell_angle_alpha 77.65
_cell_angle_beta 77.65
_cell_angle_gamma 60.00
_space_group_name_H-M_alt 'P 1'
_space_group_IT_number 1
_space_group_name_Hall 'P 1'
loop_
_atom_site_label
_atom_site_type_symbol
_atom_site_fract_x
_atom_site_fract_y
_atom_site_fract_z
Te1 Te 0.0805 0.0805 0.7586
Te2 Te 0.9195 0.9195 0.2414
N1 N 0.0000 0.0000 0.0000
S1 S 0.5000 0.5000 0.5000



Quick one: most stable of them? b



a:
# ZrTeSN2 | the Alexandria database | PBEsol | relaxed
# D(E_F) in states/eV per cell: 3.05
# Total magnetic moment in μB per cell: 0.0
data_ZrTeSN2
_chemical_formula_sum 'Zr1 Te1 S1 N2'
_cell_length_a 3.9673
_cell_length_b 3.9673
_cell_length_c 4.8032
_cell_angle_alpha 90.00
_cell_angle_beta 90.00
_cell_angle_gamma 90.00
_space_group_name_H-M_alt 'P 1'
_space_group_IT_number 1
_space_group_name_Hall 'P 1'
loop_
_atom_site_label
_atom_site_type_symbol
_atom_site_fract_x
_atom_site_fract_y
_atom_site_fract_z
Zr1 Zr 0.5000 0.5000 0.5000
S1 S 0.0000 0.0000 0.0000
Te1 Te 0.0000 0.0000 0.5000
N1 N 0.0000 0.5000 0.0000
N2 N 0.5000 0.0000 0.0000



b:
# ZrTeSN2 | the Alexandria database | PBEsol | relaxed
# D(E_F) in states/eV per cell: 3.19
# Total magnetic moment in μB per cell: 0.0
data_ZrTeSN2
_chemical_formula_sum 'Zr1 Te1 S1 N2'
_cell_length_a 3.9753
_cell_length_b 3.9753
_cell_length_c 4.9451
_cell_angle_alpha 90.00
_cell_angle_beta 90.00
_cell_angle_gamma 90.00
_space_group_name_H-M_alt 'P 1'
_space_group_IT_number 1
_space_group_name_Hall 'P 1'
loop_
_atom_site_label
_atom_site_type_symbol
_atom_site_fract_x
_atom_site_fract_y
_atom_site_fract_z
N1 N 0.0000 0.5000 0.0000
N2 N 0.5000 0.0000 0.0000
Zr1 Zr 0.5000 0.5000 0.5000
S1 S 0.0000 0.0000 0.5000
Te1 Te 0.0000 0.0000 0.0000



Quick one: most stable of them? b



a:
# TiS2N2 | the Alexandria database | PBEsol | relaxed
# D(E_F) in states/eV per cell: 2.90
# Total magnetic moment in μB per cell: 0.3
data_TiS2N2
_chemical_formula_sum 'Ti1 S2 N2'
_cell_length_a 3.8378
_cell_length_b 4.6733
_cell_length_c 4.6733
_cell_angle_alpha 90.00
_cell_angle_beta 90.00
_cell_angle_gamma 90.00
_space_group_name_H-M_alt 'P 1'
_space_group_IT_number 1
_space_group_name_Hall 'P 1'
loop_
_atom_site_label
_atom_site_type_symbol
_atom_site_fract_x
_atom_site_fract_y
_atom_site_fract_z
Ti1 Ti 0.0000 0.0000 0.0000
N1 N 0.5000 0.5000 0.5000
N2 N 0.5000 0.0000 0.0000
S1 S 0.0000 0.0000 0.5000
S2 S 0.0000 0.5000 0.0000



b:
# TiS2N2 | the Alexandria database | PBEsol | relaxed
# D(E_F) in states/eV per cell: 4.47
# Total magnetic moment in μB per cell: 0.0
data_TiS2N2
_chemical_formula_sum 'Ti1 S2 N2'
_cell_length_a 3.7501
_cell_length_b 3.7501
_cell_length_c 5.2075
_cell_angle_alpha 90.00
_cell_angle_beta 90.00
_cell_angle_gamma 90.00
_space_group_name_H-M_alt 'P 1'
_space_group_IT_number 1
_space_group_name_Hall 'P 1'
loop_
_atom_site_label
_atom_site_type_symbol
_atom_site_fract_x
_atom_site_fract_y
_atom_site_fract_z
N1 N 0.5000 0.0000 0.0000
N2 N 0.0000 0.5000 0.0000
S1 S 0.0000 0.0000 0.5000
S2 S 0.5000 0.5000 0.5000
Ti1 Ti 0.0000 0.0000 0.0000



Quick one: most stable of them? b



a:
# Y4S3N2 | the Alexandria database | PBEsol | relaxed
# Total magnetic moment in μB per cell: 0.0
data_Y4S3N2
_chemical_formula_sum 'Y4 S3 N2'
_cell_length_a 3.7898
_cell_length_b 6.6607
_cell_length_c 7.8776
_cell_angle_alpha 83.89
_cell_angle_beta 76.08
_cell_angle_gamma 73.47
_space_group_name_H-M_alt 'P 1'
_space_group_IT_number 1
_space_group_name_Hall 'P 1'
loop_
_atom_site_label
_atom_site_type_symbol
_atom_site_fract_x
_atom_site_fract_y
_atom_site_fract_z
N1 N 0.6439 0.0728 0.6394
N2 N 0.3561 0.9272 0.3606
Y1 Y 0.4356 0.2725 0.8564
Y2 Y 0.7596 0.1297 0.3511
Y3 Y 0.5644 0.7275 0.1436
Y4 Y 0.2404 0.8703 0.6489
S1 S 0.0000 0.0000 0.0000
S2 S 0.1742 0.4358 0.2158
S3 S 0.8258 0.5642 0.7842



b:
# Y4S3N2 | the Alexandria database | PBEsol | relaxed
# D(E_F) in states/eV per cell: 0.00
# Total magnetic moment in μB per cell: 0.0
data_Y4S3N2
_chemical_formula_sum 'Y16 S12 N8'
_cell_length_a 6.4948
_cell_length_b 9.9350
_cell_length_c 10.9048
_cell_angle_alpha 90.00
_cell_angle_beta 90.00
_cell_angle_gamma 90.00
_space_group_name_H-M_alt 'P 1'
_space_group_IT_number 1
_space_group_name_Hall 'P 1'
loop_
_atom_site_label
_atom_site_type_symbol
_atom_site_fract_x
_atom_site_fract_y
_atom_site_fract_z
N1 N 0.9490 0.5287 0.1224
N2 N 0.4490 0.9713 0.3776
N3 N 0.5510 0.0287 0.6224
N4 N 0.5510 0.0287 0.8776
N5 N 0.4490 0.9713 0.1224
N6 N 0.9490 0.5287 0.3776
N7 N 0.0510 0.4713 0.8776
N8 N 0.0510 0.4713 0.6224
Y1 Y 0.8411 0.6221 0.9552
Y2 Y 0.6183 0.8400 0.2500
Y3 Y 0.6589 0.1221 0.0448
Y4 Y 0.1589 0.3779 0.0448
Y5 Y 0.7136 0.4623 0.2500
Y6 Y 0.2136 0.0377 0.2500
Y7 Y 0.1183 0.6600 0.2500
Y8 Y 0.3817 0.1600 0.7500
Y9 Y 0.8411 0.6221 0.5448
Y10 Y 0.3411 0.8779 0.9552
Y11 Y 0.2864 0.5377 0.7500
Y12 Y 0.3411 0.8779 0.5448
Y13 Y 0.1589 0.3779 0.4552
Y14 Y 0.6589 0.1221 0.4552
Y15 Y 0.7864 0.9623 0.7500
Y16 Y 0.8817 0.3400 0.7500
S1 S 0.5458 0.3602 0.5880
S2 S 0.0458 0.1398 0.9120
S3 S 0.9542 0.8602 0.4120
S4 S 0.9542 0.8602 0.0880
S5 S 0.6039 0.7165 0.7500
S6 S 0.8961 0.2165 0.2500
S7 S 0.0458 0.1398 0.5880
S8 S 0.4542 0.6398 0.0880
S9 S 0.3961 0.2835 0.2500
S10 S 0.1039 0.7835 0.7500
S11 S 0.4542 0.6398 0.4120
S12 S 0.5458 0.3602 0.9120



Quick one: most stable of them? a



a:
# Zn3SN | the Alexandria database | PBEsol | relaxed
# D(E_F) in states/eV per cell: 2.54
# Total magnetic moment in μB per cell: 0.0
data_Zn3SN
_chemical_formula_sum 'Zn3 S1 N1'
_cell_length_a 4.4638
_cell_length_b 4.4638
_cell_length_c 4.4638
_cell_angle_alpha 90.00
_cell_angle_beta 90.00
_cell_angle_gamma 90.00
_space_group_name_H-M_alt 'P 1'
_space_group_IT_number 1
_space_group_name_Hall 'P 1'
loop_
_atom_site_label
_atom_site_type_symbol
_atom_site_fract_x
_atom_site_fract_y
_atom_site_fract_z
Zn1 Zn 0.0000 0.5000 0.0000
Zn2 Zn 0.0000 0.0000 0.5000
Zn3 Zn 0.5000 0.0000 0.0000
N1 N 0.5000 0.5000 0.5000
S1 S 0.0000 0.0000 0.0000



b:
# Zn3SN | the Alexandria database | PBEsol | relaxed
# D(E_F) in states/eV per cell: 1.48
# Total magnetic moment in μB per cell: 0.0
data_Zn3SN
_chemical_formula_sum 'Zn3 S1 N1'
_cell_length_a 4.1126
_cell_length_b 4.1126
_cell_length_c 4.1126
_cell_angle_alpha 90.00
_cell_angle_beta 90.00
_cell_angle_gamma 90.00
_space_group_name_H-M_alt 'P 1'
_space_group_IT_number 1
_space_group_name_Hall 'P 1'
loop_
_atom_site_label
_atom_site_type_symbol
_atom_site_fract_x
_atom_site_fract_y
_atom_site_fract_z
S1 S 0.5000 0.5000 0.5000
Zn1 Zn 0.0000 0.5000 0.0000
Zn2 Zn 0.0000 0.0000 0.5000
Zn3 Zn 0.5000 0.0000 0.0000
N1 N 0.0000 0.0000 0.0000



Quick one: most stable of them? b